[1]
## MgMnBr2 (PBE-GGA)

Data for a relaxed MgMnBr2 crystal.

Formation energy from raw total energies: -0.027 eV per atom
SG: Fm-3m
DOS at the Fermi energy: 4.85 states/eV/cell

Cell and atoms, written as CIF:
```
data_MgMnBr2
_symmetry_space_group_name_H-M 'P 1'
_symmetry_Int_Tables_number 1
_cell_length_a 5.026
_cell_length_b 5.026
_cell_length_c 5.026
_cell_angle_alpha 60.00
_cell_angle_beta 60.00
_cell_angle_gamma 60.00
loop_
_symmetry_equiv_pos_as_xyz
'x,y,z'
loop_
_atom_site_label
_atom_site_type_symbol
_atom_site_fract_x
_atom_site_fract_y
_atom_site_fract_z
_atom_site_occupancy
Mg1 Mg 0.000 0.000 0.000 1
Mn1 Mn 0.500 0.500 0.500 1
Br1 Br 0.250 0.250 0.250 1
Br2 Br 0.750 0.750 0.750 1
```



[2]
## KZnCd2 (PBE-GGA)

Data for a relaxed KZnCd2 crystal.

ΔE_f: 0.054 eV per atom
SG: Pmmm
DOS at the Fermi energy: 2.02 states/eV/cell

Cell and atoms, written as CIF:
```
data_KZnCd2
_symmetry_space_group_name_H-M 'P 1'
_symmetry_Int_Tables_number 1
_cell_length_a 3.462
_cell_length_b 3.853
_cell_length_c 8.266
_cell_angle_alpha 90.00
_cell_angle_beta 90.00
_cell_angle_gamma 90.00
loop_
_symmetry_equiv_pos_as_xyz
'x,y,z'
loop_
_atom_site_label
_atom_site_type_symbol
_atom_site_fract_x
_atom_site_fract_y
_atom_site_fract_z
_atom_site_occupancy
Cd1 Cd 0.000 0.000 0.936 1
Cd2 Cd 0.000 0.000 0.564 1
K1 K 0.500 0.500 0.250 1
Zn1 Zn 0.500 0.500 0.750 1
```



[3]
## RbSmBr3 (PBE-GGA)

Data for a relaxed RbSmBr3 crystal.

Formation energy from raw total energies: -1.581 eV per atom
SG: Pm-3m
DOS at the Fermi energy: 3.53 states/eV/cell

Cell and atoms, written as CIF:
```
data_RbSmBr3
_symmetry_space_group_name_H-M 'P 1'
_symmetry_Int_Tables_number 1
_cell_length_a 5.766
_cell_length_b 5.766
_cell_length_c 5.766
_cell_angle_alpha 90.00
_cell_angle_beta 90.00
_cell_angle_gamma 90.00
loop_
_symmetry_equiv_pos_as_xyz
'x,y,z'
loop_
_atom_site_label
_atom_site_type_symbol
_atom_site_fract_x
_atom_site_fract_y
_atom_site_fract_z
_atom_site_occupancy
Br1 Br 0.000 0.500 0.000 1
Br2 Br 0.000 0.000 0.500 1
Br3 Br 0.500 0.000 0.000 1
Rb1 Rb 0.500 0.500 0.500 1
Sm1 Sm 0.000 0.000 0.000 1
```



[4]
## NbCdGa2S (PBE-GGA)

Data for a relaxed NbCdGa2S crystal.

Formation energy from raw total energies: 1.083 eV per atom
SG: P4/mmm
DOS at the Fermi energy: 5.16 states/eV/cell

Cell and atoms, written as CIF:
```
data_NbCdGa2S
_symmetry_space_group_name_H-M 'P 1'
_symmetry_Int_Tables_number 1
_cell_length_a 4.995
_cell_length_b 5.122
_cell_length_c 4.995
_cell_angle_alpha 90.00
_cell_angle_beta 90.00
_cell_angle_gamma 90.00
loop_
_symmetry_equiv_pos_as_xyz
'x,y,z'
loop_
_atom_site_label
_atom_site_type_symbol
_atom_site_fract_x
_atom_site_fract_y
_atom_site_fract_z
_atom_site_occupancy
Nb1 Nb 0.500 0.500 0.500 1
S1 S 0.000 0.500 0.000 1
Ga1 Ga 0.000 0.000 0.500 1
Ga2 Ga 0.500 0.000 0.000 1
Cd1 Cd 0.000 0.000 0.000 1
```



[5]
## HfTlHg2H (PBE-GGA)

Data for a relaxed HfTlHg2H crystal.

Energy: -3.00 eV/atom
SG: P4/mmm
DOS at the Fermi energy: 4.51 states/eV/cell

Cell and atoms, written as CIF:
```
data_HfTlHg2H
_symmetry_space_group_name_H-M 'P 1'
_symmetry_Int_Tables_number 1
_cell_length_a 5.746
_cell_length_b 5.746
_cell_length_c 3.726
_cell_angle_alpha 90.00
_cell_angle_beta 90.00
_cell_angle_gamma 90.00
loop_
_symmetry_equiv_pos_as_xyz
'x,y,z'
loop_
_atom_site_label
_atom_site_type_symbol
_atom_site_fract_x
_atom_site_fract_y
_atom_site_fract_z
_atom_site_occupancy
H1 H 0.000 0.000 0.500 1
Tl1 Tl 0.500 0.500 0.500 1
Hf1 Hf 0.000 0.000 0.000 1
Hg1 Hg 0.000 0.500 0.000 1
Hg2 Hg 0.500 0.000 0.000 1
```



[6]
## Th2ZnRu (PBE-GGA)

Data for a relaxed Th2ZnRu crystal.

ΔE_f: -0.386 eV per atom
SG: P2_1/m
DOS at the Fermi energy: 6.75 states/eV/cell

Cell and atoms, written as CIF:
```
data_Th2ZnRu
_symmetry_space_group_name_H-M 'P 1'
_symmetry_Int_Tables_number 1
_cell_length_a 3.973
_cell_length_b 6.138
_cell_length_c 8.635
_cell_angle_alpha 111.02
_cell_angle_beta 90.00
_cell_angle_gamma 90.00
loop_
_symmetry_equiv_pos_as_xyz
'x,y,z'
loop_
_atom_site_label
_atom_site_type_symbol
_atom_site_fract_x
_atom_site_fract_y
_atom_site_fract_z
_atom_site_occupancy
Th1 Th 0.750 0.225 0.451 1
Th2 Th 0.250 0.775 0.549 1
Th3 Th 0.250 0.784 0.093 1
Th4 Th 0.750 0.216 0.907 1
Zn1 Zn 0.250 0.353 0.210 1
Zn2 Zn 0.750 0.647 0.790 1
Ru1 Ru 0.750 0.702 0.295 1
Ru2 Ru 0.250 0.298 0.705 1
```



[7]
## Sr2ZnHg2 (PBE-GGA)

Data for a relaxed Sr2ZnHg2 crystal.

ΔE_f: -0.211 eV per atom
SG: I4/mmm
DOS at the Fermi energy: 2.82 states/eV/cell

Cell and atoms, written as CIF:
```
data_Sr2ZnHg2
_symmetry_space_group_name_H-M 'P 1'
_symmetry_Int_Tables_number 1
_cell_length_a 6.391
_cell_length_b 6.391
_cell_length_c 6.149
_cell_angle_alpha 58.69
_cell_angle_beta 58.69
_cell_angle_gamma 90.00
loop_
_symmetry_equiv_pos_as_xyz
'x,y,z'
loop_
_atom_site_label
_atom_site_type_symbol
_atom_site_fract_x
_atom_site_fract_y
_atom_site_fract_z
_atom_site_occupancy
Sr1 Sr 0.750 0.250 0.500 1
Sr2 Sr 0.250 0.750 0.500 1
Zn1 Zn 0.000 0.000 0.000 1
Hg1 Hg 0.332 0.332 0.337 1
Hg2 Hg 0.668 0.668 0.663 1
```



[8]
## KInPb2 (PBE-GGA)

Data for a relaxed KInPb2 crystal.

ΔE_f: -0.083 eV per atom
SG: Pmm2
DOS at the Fermi energy: 1.79 states/eV/cell

Cell and atoms, written as CIF:
```
data_KInPb2
_symmetry_space_group_name_H-M 'P 1'
_symmetry_Int_Tables_number 1
_cell_length_a 4.035
_cell_length_b 4.257
_cell_length_c 7.994
_cell_angle_alpha 90.00
_cell_angle_beta 90.00
_cell_angle_gamma 90.00
loop_
_symmetry_equiv_pos_as_xyz
'x,y,z'
loop_
_atom_site_label
_atom_site_type_symbol
_atom_site_fract_x
_atom_site_fract_y
_atom_site_fract_z
_atom_site_occupancy
Pb1 Pb 0.000 0.000 0.052 1
Pb2 Pb 0.500 0.500 0.251 1
K1 K 0.500 0.500 0.745 1
In1 In 0.000 0.000 0.452 1
```



[9]
## Ag3PdCl6F2 (PBE-GGA)

Data for a relaxed Ag3PdCl6F2 crystal.

Formation energy from raw total energies: -0.564 eV per atom
SG: C2/m
DOS at the Fermi energy: 8.35 states/eV/cell

Cell and atoms, written as CIF:
```
data_Ag3PdCl6F2
_symmetry_space_group_name_H-M 'P 1'
_symmetry_Int_Tables_number 1
_cell_length_a 5.912
_cell_length_b 7.136
_cell_length_c 7.548
_cell_angle_alpha 118.21
_cell_angle_beta 104.81
_cell_angle_gamma 90.00
loop_
_symmetry_equiv_pos_as_xyz
'x,y,z'
loop_
_atom_site_label
_atom_site_type_symbol
_atom_site_fract_x
_atom_site_fract_y
_atom_site_fract_z
_atom_site_occupancy
Ag1 Ag 0.000 0.500 0.000 1
Ag2 Ag 0.500 0.500 0.500 1
Ag3 Ag 0.500 0.000 0.500 1
Pd1 Pd 0.500 0.000 0.000 1
Cl1 Cl 0.742 0.338 0.200 1
Cl2 Cl 0.258 0.662 0.800 1
Cl3 Cl 0.735 0.886 0.771 1
Cl4 Cl 0.265 0.114 0.229 1
Cl5 Cl 0.258 0.138 0.800 1
Cl6 Cl 0.742 0.862 0.200 1
F1 F 0.263 0.648 0.295 1
F2 F 0.737 0.352 0.705 1
```



[10]
## TiTcW3 (PBE-GGA)

Data for a relaxed TiTcW3 crystal.

ΔE_f: 1.746 eV per atom
SG: Pm-3m
DOS at the Fermi energy: 7.31 states/eV/cell

Cell and atoms, written as CIF:
```
data_TiTcW3
_symmetry_space_group_name_H-M 'P 1'
_symmetry_Int_Tables_number 1
_cell_length_a 4.687
_cell_length_b 4.687
_cell_length_c 4.687
_cell_angle_alpha 90.00
_cell_angle_beta 90.00
_cell_angle_gamma 90.00
loop_
_symmetry_equiv_pos_as_xyz
'x,y,z'
loop_
_atom_site_label
_atom_site_type_symbol
_atom_site_fract_x
_atom_site_fract_y
_atom_site_fract_z
_atom_site_occupancy
Tc1 Tc 0.000 0.000 0.000 1
W1 W 0.000 0.500 0.000 1
W2 W 0.000 0.000 0.500 1
W3 W 0.500 0.000 0.000 1
Ti1 Ti 0.500 0.500 0.500 1
```



Copy entry 4 word for word.
## NbCdGa2S (PBE-GGA)

Data for a relaxed NbCdGa2S crystal.

Formation energy from raw total energies: 1.083 eV per atom
SG: P4/mmm
DOS at the Fermi energy: 5.16 states/eV/cell

Cell and atoms, written as CIF:
```
data_NbCdGa2S
_symmetry_space_group_name_H-M 'P 1'
_symmetry_Int_Tables_number 1
_cell_length_a 4.995
_cell_length_b 5.122
_cell_length_c 4.995
_cell_angle_alpha 90.00
_cell_angle_beta 90.00
_cell_angle_gamma 90.00
loop_
_symmetry_equiv_pos_as_xyz
'x,y,z'
loop_
_atom_site_label
_atom_site_type_symbol
_atom_site_fract_x
_atom_site_fract_y
_atom_site_fract_z
_atom_site_occupancy
Nb1 Nb 0.500 0.500 0.500 1
S1 S 0.000 0.500 0.000 1
Ga1 Ga 0.000 0.000 0.500 1
Ga2 Ga 0.500 0.000 0.000 1
Cd1 Cd 0.000 0.000 0.000 1
```